## YFePO2 (GGA+U)

Data for an optimized crystal structure of YFePO2.

a = 3.936 Å, b = 3.936 Å, c = 4.698 Å
α = 90.00°, β = 90.00°, γ = 90.00°
Element x y z (fractional)
Y1 0.000 0.000 0.000
Fe1 0.500 0.500 0.500
P1 0.500 0.500 0.000
O1 0.000 0.500 0.500
O2 0.500 0.000 0.500

Properties
- DOS at the Fermi energy (states/eV/atom) = 0.21
- SG = P4/mmm (123)
- distance to the lowest polymorph of the same formula (meV per atom) = 0.0